Entry 1:
Material: CaAl2Si2O8
Method: DFT, PBE-GGA
State: relaxed

Cell: 7.162 7.659 7.809 Å, 113.71 108.60 98.90°
Fractional positions:
Ca 0.897 0.246 0.171
Ca 0.103 0.754 0.829
Al 0.686 0.917 0.693
Al 0.314 0.083 0.307
Al 0.790 0.654 0.329
Al 0.210 0.346 0.671
Si 0.630 0.699 0.939
Si 0.370 0.301 0.061
Si 0.765 0.320 0.698
Si 0.235 0.680 0.302
O 0.023 0.602 0.327
O 0.977 0.398 0.673
O 0.625 0.395 0.199
O 0.375 0.605 0.801
O 0.427 0.811 0.525
O 0.573 0.189 0.475
O 0.693 0.764 0.179
O 0.307 0.236 0.821
O 0.742 0.536 0.840
O 0.258 0.464 0.160
O 0.794 0.186 0.818
O 0.206 0.814 0.182
O 0.724 0.901 0.924
O 0.276 0.099 0.076
O 0.841 0.790 0.590
O 0.159 0.210 0.410

Summary:
formation energy (no corrections) = -38.78 eV/f.u.
total DFT energy (no corrections) = -7.599 eV/atom
total magnetization = 0.00 Bohr magnetons per cell
calculated volume = 351.37 Å³/cell
symmetry = P-1, No. 2

Entry 2:
Material: CaAl4SiO12
Method: DFT, PBE-GGA
State: relaxed

Cell: 5.011 5.011 7.629 Å, 90.00 90.00 92.93°
Fractional positions:
Ca 0.541 0.541 0.500
Al 0.008 0.489 0.762
Al 0.008 0.489 0.238
Al 0.489 0.008 0.238
Al 0.489 0.008 0.762
Si 0.967 0.967 0.000
O 0.680 0.324 0.745
O 0.324 0.680 0.745
O 0.324 0.680 0.255
O 0.680 0.324 0.255
O 0.140 0.140 0.838
O 0.802 0.802 0.709
O 0.802 0.802 0.291
O 0.140 0.140 0.162
O 0.002 0.637 0.000
O 0.043 0.435 0.500
O 0.637 0.002 0.000
O 0.435 0.043 0.500

Summary:
formation energy (no corrections) = -36.44 eV/f.u.
total DFT energy (no corrections) = -6.574 eV/atom
total magnetization = 6.01 Bohr magnetons per cell
calculated volume = 191.33 Å³/cell
symmetry = Amm2, No. 38

Entry 3:
Material: CaAl2Si6O16
Method: DFT, PBE-GGA
State: relaxed

Cell: 4.995 8.537 8.824 Å, 88.80 89.52 88.08°
Fractional positions:
Ca 0.822 0.960 0.506
Al 0.599 0.670 0.686
Al 0.843 0.827 0.185
Si 0.914 0.201 0.173
Si 0.603 0.302 0.661
Si 0.429 0.335 0.333
Si 0.105 0.163 0.828
Si 0.353 0.702 0.359
Si 0.105 0.804 0.847
O 0.973 0.789 0.011
O 0.487 0.770 0.515
O 0.345 0.276 0.773
O 0.178 0.238 0.273
O 0.221 0.984 0.819
O 0.335 0.510 0.378
O 0.812 0.032 0.230
O 0.704 0.476 0.659
O 0.853 0.174 0.704
O 0.676 0.332 0.210
O 0.531 0.236 0.490
O 0.989 0.213 0.993
O 0.047 0.777 0.347
O 0.348 0.680 0.821
O 0.532 0.750 0.216
O 0.874 0.792 0.714

Summary:
formation energy (no corrections) = -71.74 eV/f.u.
total DFT energy (no corrections) = -7.724 eV/atom
total magnetization = 0.00 Bohr magnetons per cell
calculated volume = 376.02 Å³/cell
symmetry = P1, No. 1

Entry 4:
Material: Ca2Al2SiO8
Method: DFT, PBE-GGA
State: relaxed

Cell: 7.719 7.719 7.719 Å, 108.83 108.83 110.76°
Fractional positions:
Ca 0.304 0.996 0.000
Ca 0.996 0.304 0.000
Ca 0.004 0.004 0.308
Ca 0.696 0.696 0.692
Al 0.500 0.751 0.251
Al 0.751 0.500 0.251
Al 0.249 0.500 0.749
Al 0.500 0.249 0.749
Si 0.250 0.750 0.500
Si 0.750 0.250 0.500
O 0.795 0.987 0.000
O 0.987 0.795 0.000
O 0.013 0.013 0.808
O 0.205 0.205 0.192
O 0.573 0.276 0.000
O 0.277 0.721 0.707
O 0.570 0.014 0.293
O 0.276 0.573 0.000
O 0.014 0.570 0.293
O 0.721 0.277 0.707
O 0.724 0.724 0.296
O 0.986 0.279 0.556
O 0.279 0.986 0.556
O 0.427 0.427 0.704
O 0.723 0.430 0.444
O 0.430 0.723 0.444

Summary:
formation energy (no corrections) = -34.64 eV/f.u.
total DFT energy (no corrections) = -7.017 eV/atom
total magnetization = 4.00 Bohr magnetons per cell
calculated volume = 353.93 Å³/cell
symmetry = I-42m, No. 121

- Among the records above, which one has the highest formation energy (no corrections)?
  Ca2Al2SiO8

- Look up the total magnetization of the second one.
  6.01 Bohr magnetons per cell